{"formula": "V2P4H3O16", "functional": "PBE with a Hubbard U", "state": "relaxed", "lattice": [[-1.6191, 1.3884, -4.4303], [5.4429, -4.4263, -1.4194], [-5.1255, -6.2576, 0.0463]], "species": ["V", "V", "O", "O", "O", "O", "O", "O", "O", "O", "O", "O", "O", "O", "O", "O", "O", "O", "H", "H", "H", "P", "P", "P", "P"], "frac_coords": [[0.4984, 0.0006, 0.4993], [0.0001, 0.4972, 0.0028], [0.2270, 0.0449, 0.0688], [0.7962, 0.6164, 0.8457], [0.7621, 0.5556, 0.4464], [0.4750, 0.2073, 0.3336], [0.0574, 0.3273, 0.8346], [0.2314, 0.4452, 0.5525], [0.1557, 0.8436, 0.4298], [0.6645, 0.3255, 0.0591], [0.8410, 0.1559, 0.5707], [0.7647, 0.9558, 0.9261], [0.3137, 0.1292, 0.6667], [0.2069, 0.3840, 0.1528], [0.3375, 0.6746, 0.9435], [0.5211, 0.7924, 0.6666], [0.6844, 0.8724, 0.3321], [0.9413, 0.6732, 0.1653], [0.6533, 0.4299, 0.3969], [0.9645, 0.9876, 0.9882], [0.3406, 0.5710, 0.6015], [0.1164, 0.2638, 0.6587], [0.8805, 0.7369, 0.3407], [0.3852, 0.2277, 0.1501], [0.6101, 0.7637, 0.8476]], "vol_a3_per_atom": 11.03, "total_energy_ev_per_fu": -172.49}